This record from the Alexandria database describes Y2ScI2 after structural relaxation. The functional is PBE.

The energy above the most stable polymorph in this dataset is 0.000 eV per atom. The calculation puts the raw formation energy at -0.59 eV/f.u.

Cell and atoms, written as POSCAR:
```
Y2ScI2
1.0
8.994 0.000 0.000
0.000 8.994 0.000
0.000 0.000 3.671
Sc I Y
2 4 4
direct
0.000 0.000 0.000
0.500 0.500 0.000
0.139 0.639 0.500
0.361 0.139 0.500
0.861 0.361 0.500
0.639 0.861 0.500
0.843 0.657 0.000
0.657 0.157 0.000
0.157 0.343 0.000
0.343 0.843 0.000
```

---

This record from the Alexandria database describes SrB3Ir after structural relaxation. The functional is PBE.

Its formation energy is 3355 meV/atom. The energy above the most stable polymorph in this dataset is 2.984 eV per atom.

Cell and atoms, written as POSCAR:
```
SrB3Ir
1.0
4.290 0.000 0.000
0.000 4.290 0.000
0.000 0.000 4.290
Sr Ir B
1 1 3
direct
0.000 0.000 0.000
0.500 0.500 0.500
0.000 0.000 0.500
0.500 0.000 0.000
0.000 0.500 0.000
```

---

This record from the Alexandria database describes ReSb4Te after structural relaxation. The functional is PBE.

The calculation puts the raw formation energy at 6.98 eV/f.u.

Cell and atoms, written as POSCAR:
```
ReSb4Te
1.0
2.964 -5.407 0.052
-1.288 -4.181 4.346
-3.000 -5.176 -1.494
Te Sb Re
1 4 1
direct
0.750 0.750 0.750
0.375 0.375 0.375
0.876 0.375 0.375
0.375 0.876 0.375
0.375 0.375 0.876
0.000 0.000 0.000
```

---

This record from the Alexandria database describes Si2Pb3 after structural relaxation. The functional is PBE.

The energy above the most stable polymorph in this dataset is 0.000 eV per atom. The calculation puts the raw formation energy at 1.95 eV/f.u.

Cell and atoms, written as POSCAR:
```
Si2Pb3
1.0
2.305 -3.992 0.000
2.305 3.992 0.000
0.000 0.000 7.618
Pb Si
3 2
direct
0.667 0.333 0.646
0.333 0.667 0.354
0.000 0.000 0.000
0.667 0.333 0.215
0.333 0.667 0.785
```

---

This record from the Alexandria database describes PbBr5 after structural relaxation. The functional is PBE.

The energy above the most stable polymorph in this dataset is 0.323 eV per atom. The calculation puts the raw formation energy at -0.15 eV/f.u.

Cell and atoms, written as POSCAR:
```
PbBr5
1.0
-0.370 0.494 3.723
-3.453 -1.517 -0.141
5.474 -12.668 2.226
Br Pb
5 1
direct
0.500 0.500 0.623
0.000 0.000 0.500
0.500 0.500 0.377
0.000 0.000 0.127
0.000 0.000 0.873
0.500 0.500 0.000
```

---

This record from the Alexandria database describes DyHoCo after structural relaxation. The functional is PBE.

Its formation energy is -140 meV/atom. The energy above the most stable polymorph in this dataset is 0.000 eV per atom.

Cell and atoms, written as POSCAR:
```
DyHoCo
1.0
-3.248 -0.288 -1.861
-2.543 -1.845 4.724
-1.281 6.812 1.180
Ho Co Dy
2 2 2
direct
0.750 0.654 0.168
0.250 0.346 0.832
0.750 0.133 0.041
0.250 0.867 0.959
0.750 0.821 0.677
0.250 0.179 0.323
```

---

Calculated values (μB/f.u.) of total magnetic moment for the records, taken in order: 1.802 0.000 3.834 0.000 0.003 0.000.